Here is a relaxed YMg2CdHg4 crystal from Alexandria. Energies are from PBE.

a b c (Å): 9.1689 9.1689 9.1689
angles (deg): 31.28 31.28 31.28
Closest atoms and distances in Å follow each position.
Positions (direct):
Y: 0.0000 0.0000 0.0000  8 Hg 3.09-3.21
Mg: 0.2481 0.2481 0.2481  7 Hg 3.02-3.28
Mg: 0.7519 0.7519 0.7519  7 Hg 3.02-3.28
Cd: 0.5000 0.5000 0.5000  8 Hg 3.08-3.16
Hg: 0.1228 0.1228 0.1228  4 Mg 3.02-3.28, 3 Cd 3.08, 1 Y 3.21
Hg: 0.3790 0.3790 0.3790  3 Mg 3.04, 3 Y 3.09, 1 Cd 3.16
Hg: 0.6210 0.6210 0.6210  3 Mg 3.04, 3 Y 3.09, 1 Cd 3.16
Hg: 0.8772 0.8772 0.8772  4 Mg 3.02-3.28, 3 Cd 3.08, 1 Y 3.21

## Properties
ΔE_f (eV/atom): -0.26
Symmetry: R-3m



Here is a relaxed Mg2Nb2AgO8 crystal from Alexandria. Energies are from PBE.

a b c (Å): 5.2306 6.1791 10.3419
angles (deg): 103.48 91.20 90.85
Closest atoms and distances in Å follow each position.
Positions (direct):
Mg: 0.2456 0.3709 0.4602  5 O 2.04-2.24
Mg: 0.2520 0.9121 0.5441  5 O 2.02-2.22
Mg: 0.7480 0.0879 0.4559  5 O 2.02-2.22
Mg: 0.7544 0.6291 0.5398  5 O 2.04-2.24
Nb: 0.2355 0.8066 0.2471  5 O 1.88-2.07
Nb: 0.2659 0.5262 0.7560  3 O 1.83-1.97
Nb: 0.7341 0.4738 0.2440  3 O 1.83-1.97
Nb: 0.7645 0.1934 0.7529  5 O 1.88-2.07
Ag: 0.2531 0.1607 0.9980  4 O 2.13-2.23
Ag: 0.7469 0.8393 0.0020  4 O 2.13-2.23
O: 0.0454 0.1928 0.6150  2 Mg 2.05-2.22, 1 Nb 2.07
O: 0.0561 0.5139 0.1621  2 Nb 1.94-2.02
O: 0.0842 0.9593 0.1288  1 Nb 1.88
O: 0.1223 0.6512 0.6120  1 Nb 1.97, 3 Mg 2.02-2.17
O: 0.3789 0.0577 0.3879  1 Nb 1.99, 3 Mg 2.03-2.14
O: 0.4215 0.7639 0.8712  1 Nb 1.83
O: 0.4358 0.2833 0.8383  2 Nb 1.98-2.09, 1 Ag 2.20
O: 0.4509 0.5941 0.3800  2 Mg 2.07-2.24, 1 Nb 2.09
O: 0.5491 0.4059 0.6200  2 Mg 2.07-2.24, 1 Nb 2.09
O: 0.5642 0.7167 0.1617  2 Nb 1.98-2.09, 1 Ag 2.20
O: 0.5785 0.2361 0.1288  1 Nb 1.83
O: 0.6211 0.9423 0.6121  1 Nb 1.99, 3 Mg 2.03-2.14
O: 0.8777 0.3488 0.3880  1 Nb 1.97, 3 Mg 2.02-2.17
O: 0.9158 0.0407 0.8712  1 Nb 1.88
O: 0.9439 0.4861 0.8379  2 Nb 1.94-2.02
O: 0.9546 0.8072 0.3850  2 Mg 2.05-2.22, 1 Nb 2.07

## Properties
ΔE_f (raw) (eV/atom): -2.196
Symmetry: P-1



Here is a relaxed Dy7MgRu4 crystal from Alexandria. Energies are from PBE.

a b c (Å): 7.2975 7.2975 9.6892
angles (deg): 123.29 123.29 43.59
Closest atoms and distances in Å follow each position.
Positions (direct):
Dy: 0.0000 0.0000 0.0000  2 Mg 2.71, 4 Ru 2.75-2.78
Dy: 0.1776 0.1776 0.6299  2 Ru 2.66-2.93
Dy: 0.2857 0.2857 0.1231  4 Ru 2.87-3.17, 1 Dy 3.19
Dy: 0.4228 0.4228 0.6253  1 Ru 2.63
Dy: 0.5772 0.5772 0.3747  1 Ru 2.63
Dy: 0.7143 0.7143 0.8769  4 Ru 2.87-3.17, 1 Dy 3.19
Dy: 0.8224 0.8224 0.3701  2 Ru 2.66-2.93
Mg: 0.5000 0.5000 0.0000  2 Dy 2.71
Ru: 0.0647 0.0647 0.7795  3 Dy 2.66-2.87
Ru: 0.1969 0.1969 0.3441  3 Dy 2.63-2.93
Ru: 0.8031 0.8031 0.6559  3 Dy 2.63-2.93
Ru: 0.9353 0.9353 0.2205  3 Dy 2.66-2.87

## Properties
ΔE_f (eV/atom): -0.08
Symmetry: C2/m



Here is a relaxed HPbIO2 crystal from Alexandria. Energies are from PBE.

a b c (Å): 4.6096 4.6096 3.5661
angles (deg): 90.00 90.00 90.00
Closest atoms and distances in Å follow each position.
Positions (direct):
H: 0.0000 0.0000 0.0000  2 I 1.78
Pb: 0.5000 0.5000 0.5000  8 O 2.91, 4 I 3.26
I: 0.0000 0.0000 0.5000  2 H 1.78
O: 0.0000 0.5000 0.0000  2 H 2.30
O: 0.5000 0.0000 0.0000  2 H 2.30

## Properties
Symmetry: P4/mmm
Energy relative to the lowest polymorph listed for this composition (eV per atom): 0.059



Here is a relaxed Dy6BiC2 crystal from Alexandria. Energies are from PBE.

a b c (Å): 7.0321 7.0321 8.8254
angles (deg): 121.90 121.90 40.68
Closest atoms and distances in Å follow each position.
Positions (direct):
Dy: 0.0351 0.0351 0.1916  2 C 2.50-2.51
Dy: 0.3070 0.3070 0.9348  3 C 2.47-2.72
Dy: 0.3300 0.3300 0.4171  1 C 2.39
Dy: 0.6700 0.6700 0.5829  1 C 2.39
Dy: 0.6930 0.6930 0.0652  3 C 2.47-2.72
Dy: 0.9649 0.9649 0.8084  2 C 2.50-2.51
Bi: 0.0000 0.0000 0.5000  6 Dy 3.01-3.11
C: 0.1796 0.1796 0.0926  5 Dy 2.39-2.51
C: 0.8204 0.8204 0.9074  5 Dy 2.39-2.51

## Properties
ΔE_f (eV/atom): -0.21
Symmetry: C2/m



Here is a relaxed Nd2Ho6Tl crystal from Alexandria. Energies are from PBE.

a b c (Å): 5.5285 9.7813 11.7501
angles (deg): 90.00 118.01 90.00
Closest atoms and distances in Å follow each position.
Positions (direct):
Nd: 0.2487 0.1882 0.2484  10 Ho 3.29-3.66
Nd: 0.2487 0.3118 0.7484  10 Ho 3.29-3.66
Nd: 0.7513 0.6882 0.2516  10 Ho 3.29-3.66
Nd: 0.7513 0.8118 0.7516  10 Ho 3.29-3.66
Ho: 0.1018 0.6420 0.6021  2 Tl 3.27, 3 Ho 3.37-3.49, 3 Nd 3.57-3.58
Ho: 0.1018 0.8580 0.1021  2 Tl 3.27, 3 Ho 3.37-3.49, 3 Nd 3.57-3.58
Ho: 0.1782 0.5159 0.1780  3 Nd 3.29-3.33, 1 Tl 3.34, 3 Ho 3.44-3.52
Ho: 0.1782 0.9841 0.6780  3 Nd 3.29-3.33, 1 Tl 3.34, 3 Ho 3.44-3.52
Ho: 0.4243 0.6784 0.9250  1 Tl 3.24, 3 Ho 3.37-3.52, 3 Nd 3.39-3.55
Ho: 0.4243 0.8216 0.4250  1 Tl 3.24, 3 Ho 3.37-3.52, 3 Nd 3.39-3.55
Ho: 0.5757 0.1784 0.5750  1 Tl 3.24, 3 Ho 3.37-3.52, 3 Nd 3.39-3.55
Ho: 0.5757 0.3216 0.0750  1 Tl 3.24, 3 Ho 3.37-3.52, 3 Nd 3.39-3.55
Ho: 0.8218 0.0159 0.3220  3 Nd 3.29-3.33, 1 Tl 3.34, 3 Ho 3.44-3.52
Ho: 0.8218 0.4841 0.8220  3 Nd 3.29-3.33, 1 Tl 3.34, 3 Ho 3.44-3.52
Ho: 0.8982 0.1420 0.8979  2 Tl 3.27, 3 Ho 3.37-3.49, 3 Nd 3.57-3.58
Ho: 0.8982 0.3580 0.3979  2 Tl 3.27, 3 Ho 3.37-3.49, 3 Nd 3.57-3.58
Tl: 0.5000 0.0000 0.0000  8 Ho 3.24-3.34
Tl: 0.5000 0.5000 0.5000  8 Ho 3.24-3.34

## Properties
ΔE_f (eV/atom): 0.01
Symmetry: P2_1/c



Asked for DOS(E_F) across the records above, the calculation gives 4.09, 3.07, 8.79, 2.98, 8.02, 26.14 states/eV per cell in order.
Asked for energy across the records above, the calculation gives -1.73, -7.26, -5.99, -3.28, -5.76, -4.37 eV per atom in order.